Computed, not measured: a relaxed structure of HoErPd2 at the GGA-PBE level of DFT.

a b c (Å): 4.972 4.972 3.419
angles (deg): 90.00 90.00 90.00
Positions (direct):
Ho  0.000  0.000  0.000
Er  0.500  0.500  0.000
Pd  0.000  0.500  0.500
Pd  0.500  0.000  0.500

Values from the calculation:
distance to the lowest polymorph of the same formula: 21 meV/atom
SG: P4/mmm (123)
total moment: 0.0 μB/f.u.
formation energy from the elements: -0.9163 eV per atom
DOS at the Fermi energy: 1.747 states/eV per cell

Computed, not measured: a relaxed structure of Ho2ErPd8 at the GGA-PBE level of DFT.

a b c (Å): 7.682 7.682 6.742
angles (deg): 107.75 107.75 31.70
Positions (direct):
Ho  0.218  0.218  0.166
Ho  0.782  0.782  0.834
Er  0.500  0.500  0.500
Pd  0.037  0.037  0.219
Pd  0.141  0.141  0.680
Pd  0.323  0.323  0.593
Pd  0.408  0.408  0.050
Pd  0.592  0.592  0.950
Pd  0.677  0.677  0.407
Pd  0.859  0.859  0.320
Pd  0.963  0.963  0.781

Values from the calculation:
SG: C2/m (12)
total moment: 0.0 μB/f.u.
formation energy from the elements: -0.7834 eV per atom
DOS at the Fermi energy: 4.773 states/eV per cell

Computed, not measured: a relaxed structure of HoEr2Pd9 at the GGA-PBE level of DFT.

a b c (Å): 4.108 4.108 12.323
angles (deg): 90.00 90.00 90.00
Positions (direct):
Ho  0.000  0.000  0.000
Er  0.000  0.000  0.334
Er  0.000  0.000  0.666
Pd  0.000  0.500  0.167
Pd  0.000  0.500  0.500
Pd  0.000  0.500  0.833
Pd  0.500  0.000  0.167
Pd  0.500  0.000  0.500
Pd  0.500  0.000  0.833
Pd  0.500  0.500  0.000
Pd  0.500  0.500  0.333
Pd  0.500  0.500  0.667

Values from the calculation:
SG: P4/mmm (123)
total moment: 0.0 μB/f.u.
formation energy from the elements: -0.8920 eV per atom
DOS at the Fermi energy: 9.404 states/eV per cell

Computed, not measured: a relaxed structure of HoEr2Pd2 at the GGA-PBE level of DFT.

a b c (Å): 7.734 7.734 3.936
angles (deg): 90.00 90.00 90.00
Positions (direct):
Ho  0.000  0.000  0.000
Ho  0.500  0.500  0.000
Er  0.164  0.336  0.500
Er  0.336  0.836  0.500
Er  0.664  0.164  0.500
Er  0.836  0.664  0.500
Pd  0.134  0.634  0.000
Pd  0.366  0.134  0.000
Pd  0.634  0.866  0.000
Pd  0.866  0.366  0.000

Values from the calculation:
distance to the lowest polymorph of the same formula: 0 meV/atom
SG: P4/mbm (127)
total moment: 0.0 μB/f.u.
formation energy from the elements: -0.7545 eV per atom
DOS at the Fermi energy: 7.969 states/eV per cell

Computed, not measured: a relaxed structure of Ho3Er2Pd3 at the GGA-PBE level of DFT.

a b c (Å): 10.900 10.900 10.900
angles (deg): 161.39 152.76 33.19
Positions (direct):
Ho  0.000  0.000  0.000
Ho  0.384  0.884  0.500
Ho  0.616  0.116  0.500
Er  0.226  0.226  0.000
Er  0.774  0.774  0.000
Pd  0.115  0.615  0.500
Pd  0.500  0.500  0.000
Pd  0.885  0.385  0.500

Values from the calculation:
SG: Immm (71)
total moment: 0.0 μB/f.u.
formation energy from the elements: -0.6529 eV per atom
DOS at the Fermi energy: 7.051 states/eV per cell

Computed, not measured: a relaxed structure of HoEr6Pd2 at the GGA-PBE level of DFT.

a b c (Å): 8.170 8.170 10.698
angles (deg): 127.94 127.94 25.82
Positions (direct):
Ho  0.000  0.000  0.000
Er  0.033  0.033  0.690
Er  0.288  0.288  0.391
Er  0.307  0.307  0.946
Er  0.693  0.693  0.054
Er  0.712  0.712  0.609
Er  0.967  0.967  0.310
Pd  0.405  0.405  0.734
Pd  0.595  0.595  0.266

Values from the calculation:
SG: C2/m (12)
total moment: 0.0 μB/f.u.
formation energy from the elements: -0.3871 eV per atom
DOS at the Fermi energy: 9.846 states/eV per cell